[1]
The following is a PBE calculation of crystalline RbSiHg2P at its relaxed geometry, from the Alexandria database.

The structure belongs to space group P4/mmm (No. 123); the cell edges are 6.8898, 6.8898 and 6.6857 Å and the angles 90.00°, 90.00° and 90.00°. Symmetry generates all atoms from Rb at (0.0000, 0.0000, 0.0000), Si at (0.0000, 0.0000, 0.5000), Hg at (0.0000, 0.5000, 0.0000) and P at (0.5000, 0.5000, 0.5000).

The formation energy without anion corrections comes out at 1.287 eV per atom. Its density of states at the Fermi level is 0.0023 states/eV per atom. The calculated total energy is -6.0 eV/cell.

[2]
The following is a PBE calculation of crystalline TaZn2In at its relaxed geometry, from the Alexandria database.

The structure belongs to space group R-3m (No. 166, hexagonal axes); the cell edges are 3.0184, 3.0184 and 28.0241 Å and the angles 90.00°, 90.00° and 120.00°. Symmetry generates all atoms from Ta at (0.0000, 0.0000, 0.0000), Zn at (0.0000, 0.0000, 0.2529) and In at (0.0000, 0.0000, 0.5000).

Its density of states at the Fermi level is 0.9910 states/eV per atom. As for the formation energy: 197 meV per atom. The calculated total energy is -49.0 eV/cell.

[3]
The following is a PBE calculation of crystalline LiH2Rh at its relaxed geometry, from the Alexandria database.

The structure belongs to space group P1 (No. 1); the cell edges are 2.8566, 4.7146 and 4.9248 Å and the angles 100.77°, 106.75° and 90.01°. Symmetry generates all atoms from Li at (0.0000, 0.0000, 0.0000), Li at (0.2504, 0.7242, 0.5037), H at (0.1237, 0.3637, 0.2499), H at (0.3511, 0.1443, 0.7040), H at (0.6254, 0.8625, 0.2519), H at (0.8999, 0.5799, 0.7991), Rh at (0.5049, 0.5132, 0.0110) and Rh at (0.7465, 0.2110, 0.4929).

Its density of states at the Fermi level is 0.2067 states/eV per atom. Its relative energy among the computed polymorphs is 0 meV/atom. The calculated total energy is -34.5 eV/cell.

[4]
The following is a PBE calculation of crystalline Be2InNi at its relaxed geometry, from the Alexandria database.

The structure belongs to space group C2/m (No. 12); the cell edges are 7.7626, 3.2105 and 4.3303 Å and the angles 90.00°, 107.63° and 90.00°. Symmetry generates all atoms from Be at (0.2184, 0.0000, 0.1301), In at (0.0000, 0.0000, 0.5000) and Ni at (0.0000, 0.5000, 0.0000).

Its density of states at the Fermi level is 0.3237 states/eV per atom. Its relative energy among the computed polymorphs is 39 meV/atom. As for the formation energy: 89 meV per atom. The calculated total energy is -31.2 eV/cell.